# HoEr2Tm, optimized geometry, DFT PBE
# - DFT formation energy: 0.01 eV/atom
# - Crystal system: trigonal
# - Offset from the most stable computed form: 11 meV per atom
# - Magnetic moment: 0.001 μB per atom
# - DOS at the Fermi energy: 1.5380 states/eV/atom
data_HoEr2Tm
_cell_length_a 3.5275
_cell_length_b 3.5275
_cell_length_c 33.7848
_cell_angle_alpha 90.00
_cell_angle_beta 90.00
_cell_angle_gamma 120.00
_space_group_name_H-M_alt 'R 3 m'
_space_group_IT_number 160
_space_group_name_Hall 'R 3 -2"'
loop_
_atom_site_label
_atom_site_fract_x
_atom_site_fract_y
_atom_site_fract_z
Ho1 0.0000 0.0000 0.0000
Er1 0.0000 0.0000 0.4177
Er2 0.0000 0.0000 0.5828
Tm1 0.0000 0.0000 0.8340

# Sn2AsCl, optimized geometry, DFT PBE
# - Formation energy without anion corrections: -1.4 eV/f.u.
# - Crystal system: trigonal
# - Offset from the most stable computed form: 12 meV per atom
# - Magnetic moment: 0.000 μB per atom
# - DOS at the Fermi energy: 0.0559 states/eV/atom
data_Sn2AsCl
_cell_length_a 4.1896
_cell_length_b 4.1896
_cell_length_c 23.2984
_cell_angle_alpha 90.00
_cell_angle_beta 90.00
_cell_angle_gamma 120.00
_space_group_name_H-M_alt 'R 3 m'
_space_group_IT_number 160
_space_group_name_Hall 'R 3 -2"'
loop_
_atom_site_label
_atom_site_fract_x
_atom_site_fract_y
_atom_site_fract_z
Sn1 0.0000 0.0000 0.0000
Sn2 0.0000 0.0000 0.1942
As1 0.0000 0.0000 0.6023
Cl1 0.0000 0.0000 0.7902

# La2ThAg6, optimized geometry, DFT PBE
# - DFT formation energy: -0.23 eV/atom
# - Crystal system: hexagonal
# - Magnetic moment: 0.000 μB per atom
# - DOS at the Fermi energy: 1.0436 states/eV/atom
data_La2ThAg6
_cell_length_a 8.4580
_cell_length_b 8.4580
_cell_length_c 3.5261
_cell_angle_alpha 90.00
_cell_angle_beta 90.00
_cell_angle_gamma 120.00
_space_group_name_H-M_alt 'P 6/m m m'
_space_group_IT_number 191
_space_group_name_Hall '-P 6 2'
loop_
_atom_site_label
_atom_site_fract_x
_atom_site_fract_y
_atom_site_fract_z
La1 0.3333 0.6667 0.0000
Th1 0.0000 0.0000 0.0000
Ag1 0.0000 0.3322 0.5000

# GdHoCu2, optimized geometry, DFT PBE
# - DFT formation energy: -0.23 eV/atom
# - Crystal system: cubic
# - Offset from the most stable computed form: 6 meV per atom
# - Magnetic moment: 1.786 μB per atom
# - DOS at the Fermi energy: 0.6625 states/eV/atom
data_GdHoCu2
_cell_length_a 6.965
_cell_length_b 6.965
_cell_length_c 6.965
_cell_angle_alpha 90.00
_cell_angle_beta 90.00
_cell_angle_gamma 90.00
_space_group_name_H-M_alt 'F m -3 m'
_space_group_IT_number 225
_space_group_name_Hall '-F 4 2 3'
loop_
_atom_site_label
_atom_site_fract_x
_atom_site_fract_y
_atom_site_fract_z
Gd1 0.000 0.000 0.000
Ho1 0.000 0.000 0.500
Cu1 0.250 0.250 0.250

# CaTaTl2, optimized geometry, DFT PBE
# - DFT formation energy: 0.35 eV/atom
# - Crystal system: monoclinic
# - Magnetic moment: 0.000 μB per atom
# - DOS at the Fermi energy: 0.6993 states/eV/atom
data_CaTaTl2
_cell_length_a 6.628
_cell_length_b 8.849
_cell_length_c 3.174
_cell_angle_alpha 90.00
_cell_angle_beta 90.15
_cell_angle_gamma 90.00
_space_group_name_H-M_alt 'C 1 2/m 1'
_space_group_IT_number 12
loop_
_space_group_symop_operation_xyz
'x,y,z'
'-x,-y,-z'
'-x,y,-z'
'x,-y,z'
'x+1/2,y+1/2,z'
'-x+1/2,-y+1/2,-z'
'-x+1/2,y+1/2,-z'
'x+1/2,-y+1/2,z'
loop_
_atom_site_label
_atom_site_fract_x
_atom_site_fract_y
_atom_site_fract_z
Ca1 0.000 0.000 0.000
Ta1 0.000 0.500 0.000
Tl1 0.250 0.250 0.500

# Li2IrRh, optimized geometry, DFT PBE
# - DFT formation energy: -0.09 eV/atom
# - Crystal system: trigonal
# - Offset from the most stable computed form: 129 meV per atom
# - Magnetic moment: 0.146 μB per atom
# - DOS at the Fermi energy: 0.8620 states/eV/atom
data_Li2IrRh
_cell_length_a 2.6702
_cell_length_b 2.6702
_cell_length_c 27.4872
_cell_angle_alpha 90.00
_cell_angle_beta 90.00
_cell_angle_gamma 120.00
_space_group_name_H-M_alt 'R -3 m'
_space_group_IT_number 166
_space_group_name_Hall '-R 3 2"'
loop_
_atom_site_label
_atom_site_fract_x
_atom_site_fract_y
_atom_site_fract_z
Li1 0.0000 0.0000 0.0883
Ir1 0.0000 0.0000 0.5000
Rh1 0.0000 0.0000 0.0000

# PuTlSnHg, optimized geometry, DFT PBE
# - DFT formation energy: -0.17 eV/atom
# - Crystal system: orthorhombic
# - Offset from the most stable computed form: 0 meV per atom
# - Magnetic moment: 1.429 μB per atom
# - DOS at the Fermi energy: 3.0840 states/eV/atom
data_PuTlSnHg
_cell_length_a 4.592
_cell_length_b 4.608
_cell_length_c 4.897
_cell_angle_alpha 90.00
_cell_angle_beta 90.00
_cell_angle_gamma 90.00
_space_group_name_H-M_alt 'P m m m'
_space_group_IT_number 47
loop_
_space_group_symop_operation_xyz
'x,y,z'
'-x,-y,-z'
'-x,-y,z'
'x,y,-z'
'x,-y,-z'
'-x,y,z'
'-x,y,-z'
'x,-y,z'
loop_
_atom_site_label
_atom_site_fract_x
_atom_site_fract_y
_atom_site_fract_z
Pu1 0.000 0.000 0.000
Tl1 0.500 0.000 0.500
Sn1 0.500 0.500 0.000
Hg1 0.000 0.500 0.500

# InAsW2, optimized geometry, DFT PBE
# - DFT formation energy: 0.60 eV/atom
# - Crystal system: orthorhombic
# - Offset from the most stable computed form: 374 meV per atom
# - Magnetic moment: 0.000 μB per atom
# - DOS at the Fermi energy: 0.6846 states/eV/atom
data_InAsW2
_cell_length_a 3.148
_cell_length_b 4.934
_cell_length_c 9.016
_cell_angle_alpha 90.00
_cell_angle_beta 90.00
_cell_angle_gamma 90.00
_space_group_name_H-M_alt 'I m m m'
_space_group_IT_number 71
_space_group_name_Hall '-I 2 2'
loop_
_atom_site_label
_atom_site_fract_x
_atom_site_fract_y
_atom_site_fract_z
In1 0.000 0.000 0.000
As1 0.000 0.000 0.500
W1 0.000 0.500 0.220

# CdNi2As, optimized geometry, DFT PBE
# - DFT formation energy: 0.27 eV/atom
# - Crystal system: cubic
# - Offset from the most stable computed form: 320 meV per atom
# - Magnetic moment: 0.000 μB per atom
# - DOS at the Fermi energy: 0.4554 states/eV/atom
data_CdNi2As
_cell_length_a 6.219
_cell_length_b 6.219
_cell_length_c 6.219
_cell_angle_alpha 90.00
_cell_angle_beta 90.00
_cell_angle_gamma 90.00
_space_group_name_H-M_alt 'F -4 3 m'
_space_group_IT_number 216
_space_group_name_Hall 'F -4 2 3'
loop_
_atom_site_label
_atom_site_fract_x
_atom_site_fract_y
_atom_site_fract_z
Cd1 0.000 0.000 0.000
Ni1 0.000 0.000 0.500
Ni2 0.250 0.250 0.250
As1 0.250 0.250 0.750

# MgZn5Ag6, optimized geometry, DFT PBE
# - DFT formation energy: -0.07 eV/atom
# - Crystal system: monoclinic
# - Offset from the most stable computed form: 0 meV per atom
# - Magnetic moment: 0.000 μB per atom
# - DOS at the Fermi energy: 0.1780 states/eV/atom
data_MgZn5Ag6
_cell_length_a 8.289
_cell_length_b 12.865
_cell_length_c 4.362
_cell_angle_alpha 90.00
_cell_angle_beta 121.65
_cell_angle_gamma 90.00
_space_group_name_H-M_alt 'C 1 2/m 1'
_space_group_IT_number 12
loop_
_space_group_symop_operation_xyz
'x,y,z'
'-x,-y,-z'
'-x,y,-z'
'x,-y,z'
'x+1/2,y+1/2,z'
'-x+1/2,-y+1/2,-z'
'-x+1/2,y+1/2,-z'
'x+1/2,-y+1/2,z'
loop_
_atom_site_label
_atom_site_fract_x
_atom_site_fract_y
_atom_site_fract_z
Mg1 0.000 0.000 0.000
Zn1 0.000 0.162 0.500
Zn2 0.000 0.328 0.000
Zn3 0.000 0.500 0.500
Ag1 0.237 0.500 0.238
Ag2 0.242 0.331 0.742

# Hf2BAsRu, optimized geometry, DFT PBE
# - DFT formation energy: 0.97 eV/atom
# - Crystal system: tetragonal
# - Magnetic moment: 0.000 μB per atom
# - DOS at the Fermi energy: 0.7578 states/eV/atom
data_Hf2BAsRu
_cell_length_a 4.945
_cell_length_b 4.945
_cell_length_c 4.507
_cell_angle_alpha 90.00
_cell_angle_beta 90.00
_cell_angle_gamma 90.00
_space_group_name_H-M_alt 'P 4/m m m'
_space_group_IT_number 123
_space_group_name_Hall '-P 4 2'
loop_
_atom_site_label
_atom_site_fract_x
_atom_site_fract_y
_atom_site_fract_z
Hf1 0.000 0.500 0.000
B1 0.000 0.000 0.500
As1 0.500 0.500 0.500
Ru1 0.500 0.500 0.000

# Pr3EuNi, optimized geometry, DFT PBE
# - DFT formation energy: 0.00 eV/atom
# - Crystal system: cubic
# - Magnetic moment: 1.714 μB per atom
# - DOS at the Fermi energy: 1.6598 states/eV/atom
data_Pr3EuNi
_cell_length_a 5.601
_cell_length_b 5.601
_cell_length_c 5.601
_cell_angle_alpha 90.00
_cell_angle_beta 90.00
_cell_angle_gamma 90.00
_space_group_name_H-M_alt 'P m -3 m'
_space_group_IT_number 221
_space_group_name_Hall '-P 4 2 3'
loop_
_atom_site_label
_atom_site_fract_x
_atom_site_fract_y
_atom_site_fract_z
Pr1 0.000 0.000 0.500
Eu1 0.500 0.500 0.500
Ni1 0.000 0.000 0.000

# DyCdAgIr, optimized geometry, DFT PBE
# - DFT formation energy: -0.32 eV/atom
# - Crystal system: cubic
# - Magnetic moment: 0.000 μB per atom
# - DOS at the Fermi energy: 0.3145 states/eV/atom
data_DyCdAgIr
_cell_length_a 6.823
_cell_length_b 6.823
_cell_length_c 6.823
_cell_angle_alpha 90.00
_cell_angle_beta 90.00
_cell_angle_gamma 90.00
_space_group_name_H-M_alt 'F -4 3 m'
_space_group_IT_number 216
_space_group_name_Hall 'F -4 2 3'
loop_
_atom_site_label
_atom_site_fract_x
_atom_site_fract_y
_atom_site_fract_z
Dy1 0.000 0.000 0.000
Cd1 0.000 0.000 0.500
Ag1 0.250 0.250 0.250
Ir1 0.250 0.250 0.750

# Pm5GeRh2, optimized geometry, DFT PBE
# - DFT formation energy: -0.63 eV/atom
# - Crystal system: tetragonal
# - Magnetic moment: 0.000 μB per atom
# - DOS at the Fermi energy: 1.0708 states/eV/atom
data_Pm5GeRh2
_cell_length_a 7.859
_cell_length_b 7.859
_cell_length_c 13.396
_cell_angle_alpha 90.00
_cell_angle_beta 90.00
_cell_angle_gamma 90.00
_space_group_name_H-M_alt 'I 4/m c m'
_space_group_IT_number 140
_space_group_name_Hall '-I 4 2c'
loop_
_atom_site_label
_atom_site_fract_x
_atom_site_fract_y
_atom_site_fract_z
Pm1 0.000 0.000 0.000
Pm2 0.163 0.337 0.141
Ge1 0.000 0.000 0.250
Rh1 0.136 0.364 0.500